(1)
The following is a DFT calculation (PBE) of a geometry-optimized ZrAlW structure.

a b c (Å): 4.7028 4.7028 5.5381
angles (deg): 90.00 90.00 120.00
Closest atoms and distances in Å follow each position.
Space group P6_3/mmc (No. 194)
Symmetry-distinct sites (fractional):
Zr  0.3333  0.6667  0.2500 [2 per cell]  5 Al 2.72-2.77
Al  0.3333  0.6667  0.7500 [2 per cell]  5 Zr 2.72-2.77
W  0.0000  0.0000  0.0000 [2 per cell]  2 W 2.77, 6 Al 3.05, 6 Zr 3.05

Calculated values
Formation energy from the elements: -0.37 eV/f.u.
Raw total energy: -51.2 eV/cell



(2)
The following is a DFT calculation (PBE) of a geometry-optimized ZrAlW3 structure.

a b c (Å): 4.5913 4.5913 4.5913
angles (deg): 90.00 90.00 90.00
Closest atoms and distances in Å follow each position.
Space group Pm-3m (No. 221)
Symmetry-distinct sites (fractional):
Zr  0.0000  0.0000  0.0000 [1 per cell]  12 W 3.25
Al  0.5000  0.5000  0.5000 [1 per cell]  6 W 2.30
W  0.0000  0.5000  0.5000 [3 per cell]  2 Al 2.30

Calculated values
Formation energy from the elements: 6.98 eV/f.u.
Raw total energy: -44.2 eV/cell



(3)
The following is a DFT calculation (PBE) of a geometry-optimized ZrAlW2 structure.

a b c (Å): 9.4904 2.7642 5.3651
angles (deg): 90.00 94.55 90.00
Closest atoms and distances in Å follow each position.
Space group Cm (No. 8)
Symmetry-distinct sites (fractional):
Zr  0.0000  0.0000  0.0000 [2 per cell]  2 Zr 2.76, 7 W 2.83-3.09, 3 Al 2.84-2.96
Al  0.2521  0.0000  0.7472 [2 per cell]  2 Al 2.76, 3 Zr 2.84-2.96, 5 W 2.85-2.91
W  0.0161  0.5000  0.5064 [2 per cell]  5 W 2.70-2.99, 3 Al 2.85-2.91, 2 Zr 3.00
W  0.2586  0.5000  0.2764 [2 per cell]  5 W 2.70-2.99, 1 Zr 2.83, 2 Al 2.88

Calculated values
Formation energy from the elements: 0.81 eV/f.u.
Raw total energy: -74.8 eV/cell



(4)
The following is a DFT calculation (PBE) of a geometry-optimized ZrAlW2 structure.

a b c (Å): 2.7981 4.2283 5.9543
angles (deg): 90.00 90.00 90.00
Closest atoms and distances in Å follow each position.
Space group Pmmm (No. 47)
Symmetry-distinct sites (fractional):
Zr  0.0000  0.0000  0.0000 [1 per cell]  2 Zr 2.80, 2 Al 2.98, 8 W 3.05
Al  0.0000  0.0000  0.5000 [1 per cell]  2 Al 2.80, 8 W 2.84, 2 Zr 2.98
W  0.5000  0.5000  0.2837 [2 per cell]  3 W 2.58-2.80, 4 Al 2.84

Calculated values
Formation energy from the elements: 0.83 eV/f.u.
Raw total energy: -37.4 eV/cell



(5)
The following is a DFT calculation (PBE) of a geometry-optimized ZrAlW2 structure.

a b c (Å): 2.8755 2.8755 29.2250
angles (deg): 90.00 90.00 120.00
Closest atoms and distances in Å follow each position.
Space group R-3m (No. 166, hexagonal axes)
Symmetry-distinct sites (fractional):
Zr  0.0000  0.0000  0.0000 [3 per cell]  6 Zr 2.88, 6 W 3.11
Al  0.0000  0.0000  0.5000 [3 per cell]  6 W 2.78, 6 Al 2.88
W  0.0000  0.0000  0.2432 [6 per cell]  3 Al 2.78, 6 W 2.88, 3 Zr 3.11

Calculated values
Formation energy from the elements: 1.17 eV/f.u.
Raw total energy: -111.1 eV/cell



(6)
The following is a DFT calculation (PBE) of a geometry-optimized ZrAlW structure.

a b c (Å): 10.4632 3.3756 7.3930
angles (deg): 90.00 121.87 90.00
Closest atoms and distances in Å follow each position.
Space group C2/m (No. 12)
Symmetry-distinct sites (fractional):
Zr  0.0704  0.0000  0.2883 [4 per cell]  5 Al 2.89-2.95, 4 W 3.01-3.02
Al  0.1344  0.5000  0.6541 [4 per cell]  1 Al 2.52, 3 W 2.63-2.75
W  0.1767  0.5000  0.0543 [4 per cell]  3 Al 2.63-2.75, 2 W 2.67

Calculated values
Formation energy from the elements: -0.45 eV/f.u.
Raw total energy: -102.8 eV/cell



(7)
The following is a DFT calculation (PBE) of a geometry-optimized ZrAlW2 structure.

a b c (Å): 5.5991 9.0496 2.7489
angles (deg): 90.00 90.00 90.00
Closest atoms and distances in Å follow each position.
Space group Cmmm (No. 65)
Symmetry-distinct sites (fractional):
Zr  0.0000  0.0000  0.0000 [2 per cell]  2 Zr 2.75, 2 Al 2.80, 8 W 2.99
Al  0.0000  0.5000  0.0000 [2 per cell]  2 Al 2.75, 2 Zr 2.80, 8 W 2.99
W  0.2500  0.2500  0.5000 [4 per cell]  4 W 2.75-2.80, 4 Zr 2.99, 4 Al 2.99

Calculated values
Formation energy from the elements: 0.92 eV/f.u.
Raw total energy: -74.6 eV/cell



(8)
The following is a DFT calculation (PBE) of a geometry-optimized ZrAl2W2 structure.

a b c (Å): 7.0180 7.0180 3.4029
angles (deg): 90.00 90.00 90.00
Closest atoms and distances in Å follow each position.
Space group P4/mbm (No. 127)
Symmetry-distinct sites (fractional):
Zr  0.0000  0.0000  0.0000 [2 per cell]  4 Al 2.77
Al  0.1252  0.3748  0.0000 [4 per cell]  1 Al 2.49, 6 W 2.64-2.71, 2 Zr 2.77
W  0.1714  0.6714  0.5000 [4 per cell]  6 Al 2.64-2.71

Calculated values
Formation energy from the elements: -0.23 eV/f.u.
Raw total energy: -84.3 eV/cell